Crystalline Li2TePb at its relaxed geometry. Source: Alexandria, functional GGA-PBEsol.

abc: 3.7199 3.7927 6.4289
angles: 90.00 90.01 90.00
Closest atoms and distances in Å follow each position.
Atoms (fractional coordinates):
Te: 0.5000 0.5000 0.5000  8 Li 2.99, 2 Pb 3.21
Li: 0.9995 0.0000 0.7144  1 Li 2.76, 4 Te 2.99
Li: 0.0005 0.0000 0.2856  1 Li 2.76, 4 Te 2.99
Pb: 0.5000 0.5000 0.0000  2 Te 3.21, 8 Li 3.23

Output
- E: -3.38 eV per atom
- Raw formation energy: -0.512 eV/atom
- Polymorph energy (0 for the lowest one): 1 meV per atom
- Density of states at the Fermi level: 1.4 states/eV/f.u.